Computed, not measured: an optimized crystal structure of Rb4Y3ScS8 at the GGA-PBE level of DFT.

```
Rb4Y3ScS8
1.0
-1.946 6.412 4.491
-1.324 -5.358 7.076
7.235 -0.395 -3.546
Rb Y S Sc
4 3 8 1
Cartesian
-0.973 3.206 2.246
0.000 0.000 0.000
3.618 -0.197 -1.773
2.645 3.009 0.473
2.956 -2.876 1.765
1.983 0.329 4.011
-1.635 0.527 5.784
4.627 0.678 4.779
5.632 -2.634 2.459
-0.661 -0.020 3.243
-1.667 3.293 5.563
1.894 -2.430 4.290
2.071 3.089 3.732
2.960 -0.130 1.468
1.006 0.788 6.554
-0.662 -2.679 3.538
```

## Properties
Raw formation energy (eV/atom): -1.815
Total DFT energy (no corrections) (eV for the cell shown): -91.7
Total moment (μB per cell): 0.00